No. 1
Here is a relaxed Sr3HgPd crystal from Alexandria. Energies are from PBE.

a b c (Å): 5.8946 5.8946 5.8946
angles (deg): 90.00 90.00 90.00
Space group Pm-3m (No. 221)
Asymmetric unit:
Sr 0.0000 0.0000 0.5000
Hg 0.5000 0.5000 0.5000
Pd 0.0000 0.0000 0.0000

***

No. 2
Here is a relaxed SrHg2Pd2 crystal from Alexandria. Energies are from PBE.

a b c (Å): 4.5674 4.5674 23.1406
angles (deg): 90.00 90.00 90.00
Space group I4/mmm (No. 139)
Asymmetric unit:
Sr 0.0000 0.0000 0.1314
Hg 0.0000 0.0000 0.3178
Hg 0.0000 0.5000 0.0000
Pd 0.0000 0.0000 0.4329
Pd 0.0000 0.5000 0.2500

***

No. 3
Here is a relaxed SrHg4Pd2 crystal from Alexandria. Energies are from PBE.

a b c (Å): 18.6704 4.7511 7.3917
angles (deg): 90.00 90.00 90.00
Space group Pnma (No. 62)
Asymmetric unit:
Sr 0.1422 0.2500 0.0368
Hg 0.0362 0.7500 0.8511
Hg 0.0674 0.2500 0.4840
Hg 0.1841 0.7500 0.3371
Hg 0.1897 0.7500 0.7429
Pd 0.0384 0.7500 0.2445
Pd 0.2175 0.2500 0.5449

***

No. 4
Here is a relaxed Sr6HgPd3 crystal from Alexandria. Energies are from PBE.

a b c (Å): 11.2729 4.4287 15.0655
angles (deg): 90.00 109.70 90.00
Space group P2_1/m (No. 11)
Asymmetric unit:
Sr 0.0119 0.2500 0.1166
Sr 0.0655 0.7500 0.4103
Sr 0.2402 0.2500 0.8143
Sr 0.3335 0.2500 0.5933
Sr 0.3487 0.2500 0.3293
Sr 0.3623 0.7500 0.0738
Hg 0.4321 0.7500 0.7765
Pd 0.1542 0.7500 0.6493
Pd 0.1701 0.2500 0.9896
Pd 0.4132 0.7500 0.4766

***

No. 5
Here is a relaxed SrHg12Pd6 crystal from Alexandria. Energies are from PBE.

a b c (Å): 12.6804 12.6804 9.3067
angles (deg): 90.00 90.00 120.00
Space group R-3m (No. 166, hexagonal axes)
Asymmetric unit:
Sr 0.0000 0.0000 0.0000
Hg 0.0000 0.3830 0.5000
Hg 0.0857 0.1713 0.3060
Pd 0.0597 0.5298 0.2482

***

No. 6
Here is a relaxed Sr2HgPd crystal from Alexandria. Energies are from PBE.

a b c (Å): 4.3497 4.3497 30.6682
angles (deg): 90.00 90.00 120.00
Space group R-3m (No. 166, hexagonal axes)
Asymmetric unit:
Sr 0.0000 0.0000 0.1120
Hg 0.0000 0.0000 0.0000
Pd 0.0000 0.0000 0.5000

***

No. 7
Here is a relaxed SrHg2Pd6 crystal from Alexandria. Energies are from PBE.

a b c (Å): 5.6131 5.6131 7.2618
angles (deg): 90.00 90.00 120.00
Space group P6/mmm (No. 191)
Asymmetric unit:
Sr 0.0000 0.0000 0.0000
Hg 0.3333 0.6667 0.5000
Pd 0.0000 0.5000 0.1860

***

No. 8
Here is a relaxed Sr2HgPd crystal from Alexandria. Energies are from PBE.

a b c (Å): 3.8612 3.8612 7.7587
angles (deg): 90.00 90.00 90.00
Space group P4/mmm (No. 123)
Asymmetric unit:
Sr 0.0000 0.0000 0.2332
Hg 0.5000 0.5000 0.5000
Pd 0.5000 0.5000 0.0000

***

No. 9
Here is a relaxed Sr6HgPd crystal from Alexandria. Energies are from PBE.

a b c (Å): 7.6485 7.6485 14.6071
angles (deg): 90.00 90.00 120.00
Space group P-31c (No. 163)
Asymmetric unit:
Sr 0.0100 0.3288 0.1203
Hg 0.3333 0.6667 0.7500
Pd 0.0000 0.0000 0.0000

***

No. 10
Here is a relaxed Sr5Hg4Pd crystal from Alexandria. Energies are from PBE.

a b c (Å): 3.9109 3.9109 20.0656
angles (deg): 90.00 90.00 90.00
Space group P4/mmm (No. 123)
Asymmetric unit:
Sr 0.0000 0.0000 0.0000
Sr 0.0000 0.0000 0.2049
Sr 0.0000 0.0000 0.4103
Hg 0.5000 0.5000 0.1024
Hg 0.5000 0.5000 0.3086
Pd 0.5000 0.5000 0.5000

***

No. 11
Here is a relaxed Sr6HgPd crystal from Alexandria. Energies are from PBE.

a b c (Å): 7.6351 7.6351 22.0388
angles (deg): 90.00 90.00 120.00
Space group R-3 (No. 148, hexagonal axes)
Asymmetric unit:
Sr 0.0054 0.6579 0.0868
Hg 0.0000 0.0000 0.0000
Pd 0.0000 0.0000 0.5000

***

No. 12
Here is a relaxed SrHg3Pd3 crystal from Alexandria. Energies are from PBE.

a b c (Å): 8.4197 8.4197 16.3859
angles (deg): 90.00 90.00 120.00
Space group R-3 (No. 148, hexagonal axes)
Asymmetric unit:
Sr 0.0000 0.0000 0.1715
Hg 0.0048 0.3508 0.2898
Pd 0.0074 0.2739 0.4527

***

No. 13
Here is a relaxed Sr3Hg7Pd4 crystal from Alexandria. Energies are from PBE.

a b c (Å): 17.1926 4.6724 10.2874
angles (deg): 90.00 124.18 90.00
Space group C2/m (No. 12)
Asymmetric unit:
Sr 0.0000 0.0000 0.0000
Sr 0.1910 0.5000 0.6969
Hg 0.0000 0.0000 0.5000
Hg 0.0039 0.5000 0.2796
Hg 0.1578 0.0000 0.4230
Hg 0.1846 0.5000 0.0298
Pd 0.1171 0.0000 0.8305
Pd 0.1655 0.5000 0.2771

***

No. 14
Here is a relaxed Sr3Hg4Pd4 crystal from Alexandria. Energies are from PBE.

a b c (Å): 4.1513 4.6269 14.9384
angles (deg): 98.59 97.96 90.03
Space group P-1 (No. 2)
Asymmetric unit:
Sr 0.0000 0.0000 0.0000
Sr 0.1468 0.6466 0.2930
Hg 0.2545 0.2550 0.5088
Hg 0.4044 0.9048 0.8097
Pd 0.3119 0.8108 0.6238
Pd 0.4516 0.4518 0.9085

***

No. 15
Here is a relaxed Sr2Hg5Pd4 crystal from Alexandria. Energies are from PBE.

a b c (Å): 5.9964 10.0610 17.6853
angles (deg): 90.00 90.00 90.00
Space group Fmmm (No. 69)
Asymmetric unit:
Sr 0.0000 0.0000 0.1414
Hg 0.0000 0.0000 0.5000
Hg 0.2500 0.2500 0.0000
Hg 0.2500 0.2500 0.2500
Pd 0.0000 0.1563 0.3717

***

No. 16
Here is a relaxed Sr6HgPd2 crystal from Alexandria. Energies are from PBE.

a b c (Å): 10.3402 10.8571 11.5683
angles (deg): 90.00 90.00 90.00
Space group Immm (No. 71)
Asymmetric unit:
Sr 0.0000 0.1954 0.2347
Sr 0.1848 0.5000 0.1656
Sr 0.2121 0.3245 0.5000
Hg 0.0000 0.0000 0.0000
Hg 0.0000 0.0000 0.5000
Pd 0.0000 0.3380 0.0000
Pd 0.0000 0.5000 0.3769

***

No. 17
Here is a relaxed SrHg12Pd4 crystal from Alexandria. Energies are from PBE.

a b c (Å): 9.6811 9.6811 9.6811
angles (deg): 90.00 90.00 90.00
Space group Im-3 (No. 204)
Asymmetric unit:
Sr 0.0000 0.0000 0.0000
Hg 0.0000 0.3433 0.1589
Pd 0.2500 0.2500 0.2500

***

No. 18
Here is a relaxed Sr3HgPd crystal from Alexandria. Energies are from PBE.

a b c (Å): 10.8526 15.6398 4.4275
angles (deg): 90.00 90.00 90.00
Space group Cmmm (No. 65)
Asymmetric unit:
Sr 0.0000 0.1665 0.0000
Sr 0.1875 0.3754 0.5000
Hg 0.0000 0.0000 0.5000
Hg 0.0000 0.5000 0.0000
Pd 0.2500 0.2500 0.0000

***

No. 19
Here is a relaxed Sr2HgPd2 crystal from Alexandria. Energies are from PBE.

a b c (Å): 5.9065 5.9065 8.1925
angles (deg): 90.00 90.00 90.00
Space group I4/mmm (No. 139)
Asymmetric unit:
Sr 0.0000 0.5000 0.2500
Hg 0.0000 0.0000 0.0000
Pd 0.0000 0.0000 0.3387

***

No. 20
Here is a relaxed Sr4Hg2Pd crystal from Alexandria. Energies are from PBE.

a b c (Å): 16.0166 4.8880 6.7983
angles (deg): 90.00 105.70 90.00
Space group C2/m (No. 12)
Asymmetric unit:
Sr 0.0824 0.0000 0.2702
Sr 0.1504 0.5000 0.8114
Hg 0.2330 0.5000 0.3399
Pd 0.0000 0.5000 0.0000

***

No. 21
Here is a relaxed SrTbHgPd crystal from Alexandria. Energies are from PBE.

a b c (Å): 7.4579 7.4579 7.4579
angles (deg): 90.00 90.00 90.00
Space group F-43m (No. 216)
Asymmetric unit:
Sr 0.0000 0.0000 0.0000
Tb 0.0000 0.0000 0.5000
Hg 0.2500 0.2500 0.2500
Pd 0.2500 0.2500 0.7500

***

Number 1: total moment 0.00 μB per cell, ΔE_f -0.34 eV/atom. Number 2: total moment 0.00 μB per cell, ΔE_f -0.43 eV/atom. Number 3: total moment 0.00 μB per cell, ΔE_f -0.33 eV/atom. Number 4: total moment 0.00 μB per cell, ΔE_f -0.47 eV/atom. Number 5: total moment 0.00 μB per cell, ΔE_f -0.11 eV/atom. Number 6: total moment 0.00 μB per cell, ΔE_f -0.27 eV/atom. Number 7: total moment 0.00 μB per cell, ΔE_f -0.14 eV/atom. Number 8: total moment 0.00 μB per cell, ΔE_f -0.54 eV/atom. Number 9: total moment 0.00 μB per cell, ΔE_f -0.30 eV/atom. Number 10: total moment 0.00 μB per cell, ΔE_f -0.53 eV/atom. Number 11: total moment 0.00 μB per cell, ΔE_f -0.30 eV/atom. Number 12: total moment 0.00 μB per cell, ΔE_f -0.25 eV/atom. Number 13: total moment 0.00 μB per cell, ΔE_f -0.45 eV/atom. Number 14: total moment 0.00 μB per cell, ΔE_f -0.49 eV/atom. Number 15: total moment 0.00 μB per cell, ΔE_f -0.37 eV/atom. Number 16: total moment 0.00 μB per cell, ΔE_f -0.42 eV/atom. Number 17: total moment 0.00 μB per cell, ΔE_f -0.06 eV/atom. Number 18: total moment 0.00 μB per cell, ΔE_f -0.43 eV/atom. Number 19: total moment 0.00 μB per cell, ΔE_f -0.48 eV/atom. Number 20: total moment 0.00 μB per cell, ΔE_f -0.46 eV/atom. Number 21: total moment 0.00 μB per cell, ΔE_f -0.51 eV/atom.